1.
TiPHO5 GGA-PBE relaxed; total magnetic moment = 0.00 μB per cell; symmetry = P-1 (2); raw total energy = -107.2 eV for the cell shown
1.0
-5.017 -0.171 -0.110
-0.127 -6.040 0.152
-0.293 4.402 6.274
O P Ti H
10 2 2 2
Cartesian
-3.475 -1.273 0.172
-1.565 0.985 3.474
-2.804 1.036 4.233
-4.386 -0.460 5.348
-0.885 -2.576 4.612
-4.552 0.767 1.704
-1.051 -1.348 0.968
-3.872 -2.793 2.842
-1.962 -0.536 6.145
-2.632 -2.844 2.083
-2.534 -1.239 1.458
-2.902 -0.570 4.858
0.000 0.000 0.000
-0.146 2.201 3.137
-3.666 0.285 1.965
-1.770 -2.093 4.352

2.
TiPHO5 GGA-PBE relaxed; total magnetic moment = 0.08 μB per cell; symmetry = P-1 (2); raw total energy = -108.4 eV for the cell shown
1.0
-4.104 3.435 -0.598
-1.303 -5.741 -2.385
-0.864 -1.309 5.773
Ti O H P
2 10 2 2
Cartesian
-3.135 -1.807 1.395
0.000 0.000 0.000
-3.754 -2.861 -0.356
-1.670 -1.529 4.019
-1.247 -1.576 0.720
-3.642 -0.076 0.766
-2.517 -0.753 3.146
-4.073 0.433 4.791
-5.024 -2.038 2.070
-4.600 -2.086 -1.229
-2.198 -4.047 -2.001
-2.628 -3.538 2.024
-3.131 -0.198 3.778
-3.139 -3.417 -0.988
-4.340 0.664 -0.471
-1.931 -4.279 3.262

3.
TlPHO2 GGA-PBE relaxed; total magnetic moment = 2.70 μB per cell; symmetry = P4/mmm (123); raw total energy = -15.2 eV for the cell shown; DOS(E_F) = 3.29 states/eV per cell
1.0
-4.126 0.321 -0.371
0.115 -2.421 -3.374
-0.708 -4.988 3.555
Tl O H P
1 2 1 1
Cartesian
0.000 0.000 0.000
0.058 -1.211 -1.687
-2.063 0.161 -0.186
-2.359 -3.544 -0.095
-0.354 -2.494 1.778

Which of these has the highest raw total energy?
TlPHO2

total magnetic moment of number 2 (TiPHO5)?
0.08 μB per cell

Which value of total magnetic moment does entry 3 give?
2.70 μB per cell